--- w ---
## Ce8Ir2Pt (GGA-PBE)

Data for a relaxed Ce8Ir2Pt crystal.

Lattice parameters (Å, degrees): 4.659 6.848 9.244 108.94 104.60 90.00
Last column: magnetic moment on the atom in μB.
Fractional positions:
Ce  0.408  0.509  0.816  0.15
Ce  0.672  0.026  0.344  0.27
Ce  0.798  0.687  0.597  0.52
Ce  0.995  0.250  0.990  0.11
Ce  0.202  0.313  0.403  0.52
Ce  0.328  0.974  0.656  0.27
Ce  0.592  0.491  0.184  0.15
Ce  0.005  0.750  0.010  0.11
Ir  0.838  0.254  0.676  -0.03
Ir  0.162  0.746  0.324  -0.03
Pt  0.500  0.000  0.000  0.02



--- x ---
## Ce8Ir2Pt (GGA-PBE)

Data for a relaxed Ce8Ir2Pt crystal.

Lattice parameters (Å, degrees): 5.605 7.554 7.554 115.59 99.48 99.48
Last column: magnetic moment on the atom in μB.
Fractional positions:
Ce  0.577  0.296  0.082  0.09
Ce  0.577  0.082  0.296  0.09
Ce  0.162  0.381  0.381  0.17
Ce  0.000  0.236  0.771  0.52
Ce  0.000  0.771  0.236  0.52
Ce  0.838  0.626  0.626  0.17
Ce  0.423  0.924  0.710  0.09
Ce  0.423  0.710  0.924  0.09
Ir  0.500  0.689  0.316  -0.02
Ir  0.500  0.316  0.689  -0.02
Pt  0.000  0.003  0.003  -0.01



Short version: w is the most stable of them.



--- w ---
## Ce3Ir2Pt (GGA-PBE)

Data for a relaxed Ce3Ir2Pt crystal.

Lattice parameters (Å, degrees): 3.963 7.916 9.118 90.00 90.00 104.50
Last column: magnetic moment on the atom in μB.
Fractional positions:
Ce  0.631  0.263  0.059  0.54
Ce  0.135  0.270  0.750  0.41
Ce  0.631  0.263  0.441  0.54
Ce  0.865  0.730  0.250  0.41
Ce  0.369  0.737  0.941  0.54
Ce  0.369  0.737  0.559  0.54
Ir  0.000  0.000  0.000  -0.04
Ir  0.000  0.000  0.500  -0.04
Ir  0.487  0.974  0.250  -0.03
Ir  0.513  0.026  0.750  -0.03
Pt  0.231  0.461  0.250  -0.01
Pt  0.769  0.539  0.750  -0.01



--- x ---
## Ce3Ir2Pt (GGA-PBE)

Data for a relaxed Ce3Ir2Pt crystal.

Lattice parameters (Å, degrees): 8.109 7.036 7.036 48.20 73.29 73.29
Fractional positions:
Ce  0.250  0.500  0.500
Ce  0.750  0.500  0.500
Ce  0.087  0.827  0.826
Ce  0.413  0.174  0.173
Ce  0.587  0.826  0.827
Ce  0.913  0.173  0.174
Ir  0.582  0.335  0.337
Ir  0.082  0.337  0.335
Ir  0.918  0.663  0.665
Ir  0.418  0.665  0.663
Pt  0.750  0.000  0.000
Pt  0.250  0.000  0.000



Short version: x is the most stable of them.



--- w ---
## Ce6Ir2Pt (GGA-PBE)

Data for a relaxed Ce6Ir2Pt crystal.

Lattice parameters (Å, degrees): 4.735 5.646 8.851 99.15 90.00 114.79
Last column: magnetic moment on the atom in μB.
Fractional positions:
Ce  0.057  0.113  0.839  0.01
Ce  0.608  0.215  0.168  0.07
Ce  0.392  0.785  0.832  0.07
Ce  0.685  0.371  0.574  0.48
Ce  0.315  0.629  0.426  0.48
Ce  0.943  0.887  0.161  0.01
Ir  0.730  0.459  0.880  -0.01
Ir  0.270  0.541  0.120  -0.01
Pt  0.000  0.000  0.500  -0.01



--- x ---
## Ce6Ir2Pt (GGA-PBE)

Data for a relaxed Ce6Ir2Pt crystal.

Lattice parameters (Å, degrees): 6.501 7.308 9.891 90.00 92.36 90.00
Last column: magnetic moment on the atom in μB.
Fractional positions:
Ce  0.828  0.944  0.236  0.35
Ce  0.830  0.650  0.559  0.46
Ce  0.850  0.693  0.926  0.41
Ce  0.650  0.193  0.574  0.41
Ce  0.670  0.150  0.941  0.46
Ce  0.672  0.444  0.264  0.35
Ce  0.172  0.056  0.764  0.35
Ce  0.170  0.350  0.441  0.46
Ce  0.150  0.307  0.074  0.41
Ce  0.350  0.807  0.426  0.41
Ce  0.330  0.850  0.059  0.46
Ce  0.328  0.556  0.736  0.35
Ir  0.945  0.379  0.778  -0.03
Ir  0.555  0.879  0.722  -0.03
Ir  0.445  0.121  0.278  -0.03
Ir  0.055  0.621  0.222  -0.03
Pt  0.500  0.500  0.000  -0.01
Pt  0.000  0.000  0.500  -0.01



Short version: w is the most stable of them.



--- w ---
## TbCeIrPt (GGA-PBE)

Data for a relaxed TbCeIrPt crystal.

Lattice parameters (Å, degrees): 4.965 4.965 4.965 60.00 60.00 60.00
Last column: magnetic moment on the atom in μB.
Fractional positions:
Ir  0.500  0.500  0.500  -0.02
Tb  0.750  0.750  0.750  0.05
Ce  0.250  0.250  0.250  0.59
Pt  0.000  0.000  0.000  0.00



--- x ---
## TbCeIrPt (GGA-PBE)

Data for a relaxed TbCeIrPt crystal.

Lattice parameters (Å, degrees): 3.828 4.194 5.904 90.00 108.92 90.00
Fractional positions:
Tb  0.143  0.000  0.285
Ce  0.865  0.500  0.730
Ir  0.404  0.000  0.807
Pt  0.589  0.500  0.177



Short version: x is the most stable of them.



--- w ---
## Ce2PuIr (GGA-PBE)

Data for a relaxed Ce2PuIr crystal.

Lattice parameters (Å, degrees): 5.041 5.041 5.041 60.00 60.00 60.00
Last column: magnetic moment on the atom in μB.
Fractional positions:
Ir  0.500  0.500  0.500  -0.09
Ce  0.250  0.250  0.250  0.90
Ce  0.750  0.750  0.750  0.90
Pu  0.000  0.000  0.000  5.70



--- x ---
## Ce2PuIr (GGA-PBE)

Data for a relaxed Ce2PuIr crystal.

Lattice parameters (Å, degrees): 7.184 6.633 6.319 58.90 54.30 53.57
Last column: magnetic moment on the atom in μB.
Fractional positions:
Ce  0.302  0.295  0.305  0.46
Ce  0.698  0.705  0.695  0.46
Ce  0.142  0.798  0.767  0.46
Ce  0.858  0.202  0.233  0.46
Pu  0.727  0.715  0.212  5.07
Pu  0.273  0.285  0.788  5.07
Ir  0.686  0.261  0.760  -0.08
Ir  0.314  0.739  0.240  -0.08



Short version: x is the most stable of them.



--- w ---
## Ce2PuIr (GGA-PBE)

Data for a relaxed Ce2PuIr crystal.

Lattice parameters (Å, degrees): 3.556 3.556 7.400 90.00 90.00 90.00
Last column: magnetic moment on the atom in μB.
Fractional positions:
Ir  0.500  0.500  0.000  -0.01
Ce  0.000  0.000  0.780  0.01
Ce  0.000  0.000  0.220  0.01
Pu  0.500  0.500  0.500  5.16



--- x ---
## Ce2PuIr (GGA-PBE)

Data for a relaxed Ce2PuIr crystal.

Lattice parameters (Å, degrees): 4.012 4.012 8.010 75.50 75.50 60.00
Last column: magnetic moment on the atom in μB.
Fractional positions:
Ce  0.065  0.065  0.804  0.83
Ce  0.261  0.261  0.218  0.58
Pu  0.512  0.512  0.464  5.63
Ir  0.662  0.662  0.013  -0.02



Short version: w is the most stable of them.



--- w ---
## Ce2PuIr (GGA-PBE)

Data for a relaxed Ce2PuIr crystal.

Lattice parameters (Å, degrees): 3.751 3.751 9.799 78.97 78.97 60.00
Last column: magnetic moment on the atom in μB.
Fractional positions:
Ir  0.500  0.500  0.500  -0.04
Ce  0.105  0.105  0.684  0.68
Ce  0.895  0.895  0.316  0.68
Pu  0.000  0.000  0.000  5.76



--- x ---
## Ce2PuIr (GGA-PBE)

Data for a relaxed Ce2PuIr crystal.

Lattice parameters (Å, degrees): 3.750 6.198 9.214 90.00 90.00 117.23
Last column: magnetic moment on the atom in μB.
Fractional positions:
Ce  0.028  0.227  0.440  0.17
Ce  0.972  0.773  0.560  0.17
Ce  0.972  0.773  0.940  0.17
Ce  0.028  0.227  0.060  0.17
Pu  0.502  0.861  0.250  5.02
Pu  0.498  0.139  0.750  5.02
Ir  0.739  0.493  0.250  -0.12
Ir  0.261  0.507  0.750  -0.12



Short version: x is the most stable of them.



--- w ---
## Ce8PuIr2 (GGA-PBE)

Data for a relaxed Ce8PuIr2 crystal.

Lattice parameters (Å, degrees): 6.258 7.310 7.310 73.03 103.40 103.40
Last column: magnetic moment on the atom in μB.
Fractional positions:
Ce  0.238  0.328  0.935  0.10
Ce  0.762  0.065  0.672  0.10
Ce  0.246  0.869  0.869  0.08
Ce  0.754  0.131  0.131  0.08
Ce  0.238  0.935  0.328  0.10
Ce  0.762  0.672  0.065  0.10
Ce  0.793  0.588  0.588  0.80
Ce  0.207  0.412  0.412  0.80
Pu  0.000  0.000  0.000  -0.06
Ir  0.417  0.669  0.669  -0.02
Ir  0.583  0.331  0.331  -0.02



--- x ---
## Ce8PuIr2 (GGA-PBE)

Data for a relaxed Ce8PuIr2 crystal.

Lattice parameters (Å, degrees): 5.889 7.476 7.476 115.71 101.51 101.51
Last column: magnetic moment on the atom in μB.
Fractional positions:
Ce  0.596  0.324  0.103  -0.35
Ce  0.596  0.103  0.324  -0.35
Ce  0.171  0.355  0.355  0.06
Ce  0.000  0.204  0.802  0.04
Ce  0.000  0.802  0.204  0.04
Ce  0.829  0.652  0.652  0.06
Ce  0.404  0.903  0.682  -0.35
Ce  0.404  0.682  0.903  -0.35
Pu  0.000  0.003  0.003  3.62
Ir  0.500  0.703  0.303  0.01
Ir  0.500  0.303  0.703  0.01



Short version: w is the most stable of them.



--- w ---
## Ce2PuIr2 (GGA-PBE)

Data for a relaxed Ce2PuIr2 crystal.

Lattice parameters (Å, degrees): 3.935 7.659 7.659 90.00 90.00 90.00
Last column: magnetic moment on the atom in μB.
Fractional positions:
Ce  0.500  0.163  0.663  0.41
Ce  0.500  0.663  0.837  0.41
Ce  0.500  0.837  0.337  0.41
Ce  0.500  0.337  0.163  0.41
Pu  0.000  0.000  0.000  5.27
Pu  0.000  0.500  0.500  5.27
Ir  0.000  0.359  0.859  -0.09
Ir  0.000  0.859  0.641  -0.09
Ir  0.000  0.641  0.141  -0.09
Ir  0.000  0.141  0.359  -0.09



--- x ---
## Ce2PuIr2 (GGA-PBE)

Data for a relaxed Ce2PuIr2 crystal.

Lattice parameters (Å, degrees): 7.031 8.028 8.540 90.00 109.19 90.00
Last column: magnetic moment on the atom in μB.
Fractional positions:
Ce  0.532  0.196  0.057  0.53
Ce  0.032  0.304  0.057  0.53
Ce  0.968  0.696  0.943  0.53
Ce  0.468  0.804  0.943  0.53
Ce  0.781  0.594  0.282  0.60
Ce  0.281  0.906  0.282  0.60
Ce  0.719  0.094  0.718  0.60
Ce  0.219  0.406  0.718  0.60
Pu  0.485  0.291  0.430  5.24
Pu  0.515  0.709  0.570  5.24
Pu  0.985  0.209  0.430  5.24
Pu  0.015  0.791  0.570  5.24
Ir  0.865  0.980  0.102  -0.04
Ir  0.365  0.520  0.102  -0.04
Ir  0.635  0.480  0.898  -0.04
Ir  0.135  0.020  0.898  -0.04
Ir  0.813  0.462  0.653  -0.14
Ir  0.313  0.038  0.653  -0.14
Ir  0.687  0.962  0.347  -0.14
Ir  0.187  0.538  0.347  -0.14



Short version: w is the most stable of them.



--- w ---
## CeIrRh (GGA-PBE)

Data for a relaxed CeIrRh crystal.

Lattice parameters (Å, degrees): 2.911 5.510 6.870 90.00 90.00 90.00
Fractional positions:
Rh  0.500  0.750  0.728
Rh  0.500  0.250  0.272
Ce  0.000  0.250  0.650
Ce  0.000  0.750  0.350
Ir  0.000  0.000  0.000
Ir  0.000  0.500  0.000



--- x ---
## CeIrRh (GGA-PBE)

Data for a relaxed CeIrRh crystal.

Lattice parameters (Å, degrees): 5.377 5.377 5.377 89.77 120.27 120.00
Fractional positions:
Ce  0.250  0.124  0.874
Ce  0.750  0.876  0.126
Ir  0.000  0.500  0.500
Ir  0.500  0.000  0.500
Rh  0.500  0.500  0.500
Rh  0.000  0.500  0.000



Short version: x is the most stable of them.



--- w ---
## CeIrRh (GGA-PBE)

Data for a relaxed CeIrRh crystal.

Lattice parameters (Å, degrees): 3.594 3.594 5.000 111.06 111.06 90.00
Fractional positions:
Ir  0.001  0.001  0.001
Rh  0.335  0.335  0.670
Ce  0.664  0.664  0.328



--- x ---
## CeIrRh (GGA-PBE)

Data for a relaxed CeIrRh crystal.

Lattice parameters (Å, degrees): 3.817 4.323 4.323 120.00 90.00 90.00
Last column: magnetic moment on the atom in μB.
Fractional positions:
Ir  0.166  0.333  0.667  0.04
Rh  0.167  0.000  0.000  0.04
Ce  0.667  0.667  0.333  -0.15



Short version: x is the most stable of them.



--- w ---
## Ce8IrRh2 (GGA-PBE)

Data for a relaxed Ce8IrRh2 crystal.

Lattice parameters (Å, degrees): 5.131 6.384 9.152 110.47 106.28 90.00
Last column: magnetic moment on the atom in μB.
Fractional positions:
Ce  0.405  0.508  0.810  0.45
Ce  0.674  0.048  0.348  0.35
Ce  0.793  0.681  0.587  0.65
Ce  0.985  0.222  0.969  0.29
Ce  0.207  0.319  0.413  0.65
Ce  0.326  0.952  0.652  0.35
Ce  0.595  0.492  0.190  0.45
Ce  0.015  0.778  0.031  0.29
Ir  0.500  0.000  0.000  -0.02
Rh  0.837  0.250  0.674  -0.04
Rh  0.163  0.750  0.326  -0.04



--- x ---
## Ce8IrRh2 (GGA-PBE)

Data for a relaxed Ce8IrRh2 crystal.

Lattice parameters (Å, degrees): 5.663 7.480 7.480 116.03 99.71 99.71
Last column: magnetic moment on the atom in μB.
Fractional positions:
Ce  0.581  0.298  0.083  0.10
Ce  0.581  0.083  0.298  0.10
Ce  0.155  0.373  0.373  0.14
Ce  0.000  0.227  0.779  0.52
Ce  0.000  0.779  0.227  0.52
Ce  0.845  0.633  0.633  0.14
Ce  0.419  0.923  0.709  0.10
Ce  0.419  0.709  0.923  0.10
Ir  0.000  0.003  0.003  -0.02
Rh  0.500  0.688  0.319  -0.02
Rh  0.500  0.319  0.688  -0.02



Short version: w is the most stable of them.